Computed, not measured: a geometry-optimized AcHf2VO8 structure at the GGA+U level of DFT.

## Properties
Space-group type: P2/m (10)
E_tot, eV per atom: -8.808
Size of the total moment, Bohr magnetons per cell: 0.00
Theoretical density, g cm⁻³: 7.78
Volume, A^3/atom: 13.57

a = 4.9426 Å, b = 4.9357 Å, c = 6.6828 Å
α = 90.00°, β = 90.00°, γ = 87.14°
Element x y z (fractional)
O: 0.1943 0.8026 0.8050
O: 0.1942 0.8026 0.1950
O: 0.8058 0.1974 0.8050
O: 0.7015 0.7039 0.0000
O: 0.3367 0.3286 0.5000
O: 0.2985 0.2961 0.0000
O: 0.6633 0.6714 0.5000
O: 0.8057 0.1974 0.1950
Ac: 0.0000 0.0000 0.5000
Hf: 0.5000 0.5000 0.2380
Hf: 0.5000 0.5000 0.7620
V: 0.0000 0.0000 0.0000